A relaxed CrCo4Rh crystal. Source: Alexandria via LeMat-Bulk, functional GGA-PBE.

Output
The energy of formation comes out at 105 meV per atom. Its space-group type is No. 216. For the calculated volume, the calculation gives 72.4 Å³ per cell.

Cell: 4.679 4.679 4.679 Å, 60.00 60.00 60.00°
Fractional positions:
Cr: 0.000 0.000 0.000
Co: 0.375 0.375 0.375
Co: 0.375 0.375 0.875
Co: 0.375 0.875 0.375
Co: 0.875 0.375 0.375
Rh: 0.750 0.750 0.750

A relaxed MgSb2Te crystal. Source: Alexandria via LeMat-Bulk, functional GGA-PBE.

Output
Its space-group type is No. 225. For the calculated volume, the calculation gives 106.7 Å³ per cell. The polymorph energy (0 for the lowest one) comes out at 435 meV/atom. As for the formation energy without anion corrections: 0.164 eV per atom.

Cell: 5.324 5.324 5.324 Å, 60.00 60.00 60.00°
Fractional positions:
Mg: 0.000 0.000 0.000
Sb: 0.250 0.250 0.250
Sb: 0.750 0.750 0.750
Te: 0.500 0.500 0.500

A relaxed NdSm3Tm6Th2 crystal. Source: Alexandria via LeMat-Bulk, functional GGA-PBE.

Output
The energy of formation comes out at 27 meV per atom. Its space-group type is No. 12. For the calculated volume, the calculation gives 379.2 Å³ per cell.

Cell: 6.179 6.179 11.652 Å, 95.09 95.09 119.99°
Fractional positions:
Nd: 0.000 0.000 0.000
Sm: 0.166 0.834 0.500
Sm: 0.500 0.500 0.500
Sm: 0.834 0.166 0.500
Tm: 0.082 0.421 0.247
Tm: 0.256 0.256 0.753
Tm: 0.421 0.082 0.247
Tm: 0.579 0.918 0.753
Tm: 0.744 0.744 0.247
Tm: 0.918 0.579 0.753
Th: 0.333 0.667 0.000
Th: 0.667 0.333 0.000

A relaxed USn2Sb crystal. Source: Alexandria via LeMat-Bulk, functional GGA-PBE.

Output
Its space-group type is No. 166. For the calculated volume, the calculation gives 108.3 Å³ per cell. The polymorph energy (0 for the lowest one) comes out at 597 meV/atom. As for the formation energy without anion corrections: 0.452 eV per atom.

Cell: 12.424 12.424 12.424 Å, 14.75 14.75 14.75°
Fractional positions:
U: 0.000 0.000 0.000
Sn: 0.088 0.088 0.088
Sn: 0.912 0.912 0.912
Sb: 0.500 0.500 0.500